(1)
17
Lattice="-5.2830 5.2830 5.2830 5.2830 -5.2830 5.2830 5.2830 5.2830 -5.2830" Properties=species:S:1:pos:R:3 comment="KTl12In4 (PBE, relaxed)" space_group="Im-3, No. 204" density_g_cm3=8.3 magnetic_moment_mub_per_fu=0.00 e_form_ev_per_fu=2.4 dft_energy_ev_per_atom=-2.240 pbc="T T T"
K 0.0000 0.0000 0.0000
Tl 3.7334 1.6242 0.0000
Tl 6.8326 1.6242 0.0000
Tl 5.2830 -1.5496 3.6588
Tl 3.6588 5.2830 -1.5496
Tl 1.6242 0.0000 3.7334
Tl 5.2830 1.5496 3.6588
Tl 0.0000 3.7334 1.6242
Tl 3.6588 5.2830 1.5496
Tl 1.6242 0.0000 6.8326
Tl 0.0000 6.8326 1.6242
Tl -1.5496 3.6588 5.2830
Tl 1.5496 3.6588 5.2830
In 2.6415 2.6415 -2.6415
In 2.6415 -2.6415 2.6415
In -2.6415 2.6415 2.6415
In 2.6415 2.6415 2.6415

---

(2)
10
Lattice="4.4111 0.0000 0.0000 0.0000 4.4111 0.0000 0.0000 0.0000 15.5810" Properties=species:S:1:pos:R:3 comment="SmTmTe2S (PBE, relaxed)" space_group="P4/nmm, No. 129" density_g_cm3=6.6 magnetic_moment_mub_per_fu=0.00 dft_energy_ev_per_atom=-5.377 pbc="T T T"
Sm 1.1028 1.1028 1.6304
Sm 3.3084 3.3084 13.9506
Tm 1.1028 1.1028 9.5246
Tm 3.3084 3.3084 6.0564
Te 1.1028 1.1028 6.3612
Te 1.1028 1.1028 12.3968
Te 3.3084 3.3084 3.1842
Te 3.3084 3.3084 9.2198
S 1.1028 3.3084 0.0000
S 3.3084 1.1028 0.0000